# Y2HoMgC

A relaxed structure of Y2HoMgC (PBE, Alexandria via LeMat-Bulk).

a = 4.9424 Å, b = 4.9960 Å, c = 4.9960 Å
α = 90.00°, β = 90.00°, γ = 90.00°
Each line ends with the local moment (μB).
Sites, in units of the cell vectors:
Y 0.0000 0.5000 0.0000  0.11
Mg 0.5000 0.5000 0.5000  0.03
Y 0.0000 0.0000 0.5000  0.11
C 0.0000 0.0000 0.0000  -0.02
Ho 0.5000 0.0000 0.0000  0.15

Calculated values
Theoretical density, g cm⁻³: 5.10
Total magnetic moment, μB per formula unit: 0.878
Crystal system: tetragonal
E_form, meV per atom: -208

***

# Ho3MnC

A relaxed structure of Ho3MnC (PBE, Alexandria via LeMat-Bulk).

a = 4.8765 Å, b = 4.8765 Å, c = 4.8765 Å
α = 90.00°, β = 90.00°, γ = 90.00°
Each line ends with the local moment (μB).
Sites, in units of the cell vectors:
Ho 0.5000 0.0000 0.0000  -0.03
Mn 0.5000 0.5000 0.5000  4.01
Ho 0.0000 0.5000 0.0000  -0.03
C 0.0000 0.0000 0.0000  0.04
Ho 0.0000 0.0000 0.5000  -0.03

Calculated values
Theoretical density, g cm⁻³: 8.04
Total magnetic moment, μB per formula unit: 4.456
Crystal system: cubic
E_form, meV per atom: 41

***

# HoMn12C6

A relaxed structure of HoMn12C6 (PBE, Alexandria via LeMat-Bulk).

a = 5.9143 Å, b = 5.9143 Å, c = 5.9143 Å
α = 103.21°, β = 103.21°, γ = 103.21°
Each line ends with the local moment (μB).
Sites, in units of the cell vectors:
Mn 0.5000 0.1332 0.8668  0.85
Mn 0.1332 0.8668 0.5000  0.85
Mn 0.1332 0.5000 0.8668  0.85
C 0.2281 0.2281 0.6717  -0.07
Mn 0.8108 0.5399 0.5399  0.82
Mn 0.8668 0.1332 0.5000  0.85
Mn 0.1892 0.4601 0.4601  0.82
Mn 0.5399 0.8108 0.5399  0.82
Ho 0.0000 0.0000 0.0000  -0.10
C 0.3283 0.7719 0.7719  -0.07
C 0.2281 0.6717 0.2281  -0.07
Mn 0.8668 0.5000 0.1332  0.85
Mn 0.4601 0.1892 0.4601  0.82
Mn 0.5000 0.8668 0.1332  0.85
Mn 0.4601 0.4601 0.1892  0.82
C 0.6717 0.2281 0.2281  -0.07
C 0.7719 0.7719 0.3283  -0.07
Mn 0.5399 0.5399 0.8108  0.82
C 0.7719 0.3283 0.7719  -0.07

Calculated values
Theoretical density, g cm⁻³: 7.95
Total magnetic moment, μB per formula unit: 9.698
Crystal system: trigonal
E_form, meV per atom: -66

***

# HoMnC

A relaxed structure of HoMnC (PBE, Alexandria via LeMat-Bulk).

a = 2.8354 Å, b = 2.8354 Å, c = 5.1502 Å
α = 105.98°, β = 105.98°, γ = 90.00°
Each line ends with the local moment (μB).
Sites, in units of the cell vectors:
Mn 0.2807 0.2807 0.5614  0.31
C 0.7144 0.7144 0.4287  -0.02
Ho 0.0049 0.0049 0.0098  -0.03

Calculated values
Theoretical density, g cm⁻³: 10.10
Total magnetic moment, μB per formula unit: 0.260
Crystal system: tetragonal
Polymorph energy (0 for the lowest one), eV/atom: 0.398
E_form, meV per atom: 409

***

# HoMnC

A relaxed structure of HoMnC (PBE, Alexandria via LeMat-Bulk).

a = 3.4038 Å, b = 3.4038 Å, c = 4.1071 Å
α = 90.00°, β = 90.00°, γ = 120.00°
Sites, in units of the cell vectors:
Ho 0.0000 0.0000 0.0003
C 0.6667 0.3333 0.4996
Mn 0.3333 0.6667 0.5000

Calculated values
Theoretical density, g cm⁻³: 9.34
Total magnetic moment, μB per formula unit: 0.000
Crystal system: hexagonal
Polymorph energy (0 for the lowest one), eV/atom: 0.000
E_form, meV per atom: 11

***

# HoMnC2

A relaxed structure of HoMnC2 (PBE, Alexandria via LeMat-Bulk).

a = 3.2359 Å, b = 3.2359 Å, c = 5.4698 Å
α = 72.79°, β = 72.79°, γ = 60.00°
Each line ends with the local moment (μB).
Sites, in units of the cell vectors:
C 0.2682 0.2682 0.1955  -0.10
C 0.7318 0.7318 0.8045  -0.10
Ho 0.5000 0.5000 0.5000  -0.07
Mn 0.0000 0.0000 0.0000  2.38

Calculated values
Theoretical density, g cm⁻³: 8.69
Total magnetic moment, μB per formula unit: 2.119
Crystal system: trigonal
E_form, meV per atom: 128

***

# Ho5Mn2C6

A relaxed structure of Ho5Mn2C6 (PBE, Alexandria via LeMat-Bulk).

a = 3.3760 Å, b = 9.6566 Å, c = 11.4730 Å
α = 90.00°, β = 90.00°, γ = 90.00°
Each line ends with the local moment (μB).
Sites, in units of the cell vectors:
Ho 0.5000 0.3334 0.4860  0.08
Ho 0.5000 0.5000 0.0000  0.13
C 0.0000 0.5140 0.6226  -0.01
C 0.5000 0.8348 0.3055  -0.07
Mn 0.0000 0.6663 0.7238  1.20
Ho 0.5000 0.9138 0.7508  0.07
Ho 0.5000 0.4138 0.7492  0.07
Ho 0.5000 0.1666 0.9860  0.08
C 0.0000 0.8254 0.6064  -0.02
C 0.0000 0.3254 0.8936  -0.02
C 0.0000 0.9860 0.1226  -0.01
Mn 0.0000 0.1663 0.7762  1.20
Mn 0.0000 0.3337 0.2762  1.20
C 0.0000 0.1746 0.3936  -0.02
C 0.5000 0.6652 0.8055  -0.07
Ho 0.5000 0.0862 0.2492  0.07
C 0.5000 0.1652 0.6945  -0.07
C 0.0000 0.4860 0.3774  -0.01
Mn 0.0000 0.8337 0.2238  1.20
Ho 0.5000 0.5862 0.2508  0.07
C 0.0000 0.6746 0.1064  -0.02
Ho 0.5000 0.8334 0.0140  0.08
Ho 0.5000 0.6666 0.5140  0.08
C 0.0000 0.0140 0.8774  -0.01
C 0.5000 0.3348 0.1945  -0.07
Ho 0.5000 0.0000 0.5000  0.13

Calculated values
Theoretical density, g cm⁻³: 8.94
Total magnetic moment, μB per formula unit: 2.730
Crystal system: orthorhombic
E_form, meV per atom: -38

***

# Ho3Mn2C4

A relaxed structure of Ho3Mn2C4 (PBE, Alexandria via LeMat-Bulk).

a = 3.2278 Å, b = 5.7821 Å, c = 6.8674 Å
α = 89.89°, β = 90.00°, γ = 106.21°
Each line ends with the local moment (μB).
Sites, in units of the cell vectors:
Ho 0.6296 0.2593 0.4419  -0.02
Mn 0.2727 0.5454 0.1487  1.34
Mn 0.7273 0.4546 0.8513  1.34
C 0.8378 0.6756 0.3068  -0.03
C 0.3446 0.6891 0.9056  -0.06
Ho 0.3704 0.7407 0.5581  -0.02
C 0.1622 0.3244 0.6932  -0.03
C 0.6554 0.3109 0.0944  -0.06
Ho 0.0000 0.0000 0.0000  -0.03

Calculated values
Theoretical density, g cm⁻³: 8.81
Total magnetic moment, μB per formula unit: 2.496
Crystal system: monoclinic
E_form, meV per atom: -75

***

# HoMn2C3

A relaxed structure of HoMn2C3 (PBE, Alexandria via LeMat-Bulk).

a = 4.8462 Å, b = 6.6084 Å, c = 5.5474 Å
α = 126.56°, β = 90.00°, γ = 90.00°
Each line ends with the local moment (μB).
Sites, in units of the cell vectors:
C 0.7500 0.4700 0.1531  -0.01
Mn 0.0000 0.8106 0.0000  1.09
C 0.7500 0.6831 0.1531  -0.01
Mn 0.0000 0.1894 0.0000  1.09
C 0.2500 0.0874 0.1748  -0.08
Mn 0.5000 0.1894 0.0000  1.09
C 0.2500 0.5300 0.8469  -0.01
C 0.7500 0.9126 0.8252  -0.08
Ho 0.2500 0.7031 0.4062  0.02
C 0.2500 0.3169 0.8469  -0.01
Ho 0.7500 0.2969 0.5938  0.02
Mn 0.5000 0.8106 0.0000  1.09

Calculated values
Theoretical density, g cm⁻³: 7.23
Total magnetic moment, μB per formula unit: 2.162
Crystal system: orthorhombic
E_form, meV per atom: -16

***

# Ho2Mn17C2

A relaxed structure of Ho2Mn17C2 (PBE, Alexandria via LeMat-Bulk).

a = 6.4317 Å, b = 6.4045 Å, c = 6.4045 Å
α = 83.85°, β = 83.79°, γ = 83.79°
Each line ends with the local moment (μB).
Sites, in units of the cell vectors:
Mn 0.9018 0.9042 0.9042  -1.81
Mn 0.0000 0.0000 0.5000  0.16
Ho 0.3509 0.3513 0.3513  -0.12
Mn 0.2790 0.7178 0.9950  0.39
Mn 0.6610 0.1399 0.6630  1.48
Mn 0.0000 0.2765 0.7235  -1.74
Mn 0.6610 0.6630 0.1399  1.48
C 0.5000 0.0000 0.5000  -0.06
Mn 0.0982 0.0958 0.0958  -1.81
Mn 0.0000 0.5000 0.0000  0.16
Mn 0.1253 0.6482 0.6482  2.52
Mn 0.7210 0.2822 0.0050  0.39
Mn 0.0000 0.7235 0.2765  -1.74
Mn 0.5000 0.0000 0.0000  1.09
Mn 0.8747 0.3518 0.3518  2.52
Mn 0.2790 0.9950 0.7178  0.39
Mn 0.3390 0.8601 0.3370  1.48
Mn 0.7210 0.0050 0.2822  0.39
Ho 0.6491 0.6487 0.6487  -0.12
Mn 0.3390 0.3370 0.8601  1.48
C 0.5000 0.5000 0.0000  -0.06

Calculated values
Theoretical density, g cm⁻³: 8.24
Total magnetic moment, μB per formula unit: 6.577
Crystal system: monoclinic
E_form, meV per atom: -77

***

# Ho10Mn13C18

A relaxed structure of Ho10Mn13C18 (PBE, Alexandria via LeMat-Bulk).

a = 8.7010 Å, b = 8.7010 Å, c = 8.7010 Å
α = 109.47°, β = 109.47°, γ = 109.47°
Each line ends with the local moment (μB).
Sites, in units of the cell vectors:
C 0.2205 0.0000 0.7050  0.00
C 0.2950 0.5155 0.2950  0.00
Mn 0.1800 0.8468 0.1800  0.12
Mn 0.1532 0.3332 0.3332  0.12
C 0.7050 0.2205 0.0000  0.00
Mn 0.3332 0.3332 0.1532  0.12
Mn 0.1800 0.1800 0.8468  0.12
Mn 0.8200 0.6668 0.0000  0.12
C 0.7795 0.7795 0.4845  0.00
C 0.0000 0.2205 0.7050  0.00
C 0.0000 0.5688 0.5688  0.00
C 0.5688 0.5688 0.0000  0.00
Ho 0.5000 0.2500 0.7500  0.00
C 0.4312 0.4312 0.0000  0.00
Mn 0.0000 0.8200 0.6668  0.12
C 0.4845 0.7795 0.7795  0.00
C 0.5155 0.2950 0.2950  0.00
Mn 0.0000 0.0000 0.0000  3.65
Mn 0.8468 0.1800 0.1800  0.12
C 0.7050 0.0000 0.2205  0.00
Ho 0.5000 0.7500 0.2500  0.00
Ho 0.5893 0.5893 0.5893  0.00
C 0.5688 0.0000 0.5688  0.00
Mn 0.0000 0.6668 0.8200  0.12
Ho 0.7500 0.2500 0.5000  0.00
Ho 0.2500 0.7500 0.5000  0.00
Mn 0.8200 0.0000 0.6668  0.12
Ho 0.7500 0.5000 0.2500  0.00
Ho 0.4107 0.0000 0.0000  0.00
C 0.0000 0.4312 0.4312  0.00
C 0.2205 0.7050 0.0000  0.00
C 0.2950 0.2950 0.5155  0.00
Ho 0.2500 0.5000 0.7500  0.00
C 0.0000 0.7050 0.2205  0.00
C 0.7795 0.4845 0.7795  0.00
Mn 0.6668 0.8200 0.0000  0.12
Mn 0.3332 0.1532 0.3332  0.12
Mn 0.6668 0.0000 0.8200  0.12
Ho 0.0000 0.0000 0.4107  0.00
C 0.4312 0.0000 0.4312  0.00
Ho 0.0000 0.4107 0.0000  0.00

Calculated values
Theoretical density, g cm⁻³: 8.45
Total magnetic moment, μB per formula unit: 5.379
Crystal system: cubic
E_form, meV per atom: -325

***

# Ho2Mn17C3

A relaxed structure of Ho2Mn17C3 (PBE, Alexandria via LeMat-Bulk).

a = 8.5619 Å, b = 8.5619 Å, c = 8.3418 Å
α = 90.00°, β = 90.00°, γ = 120.00°
Each line ends with the local moment (μB).
Sites, in units of the cell vectors:
Mn 0.1756 0.8244 0.0209  1.91
Mn 0.3280 0.9457 0.7500  0.35
Mn 0.3333 0.6667 0.6161  -0.75
Mn 0.9457 0.6177 0.2500  0.35
Mn 0.1756 0.3513 0.0209  1.91
Ho 0.3333 0.6667 0.2500  0.01
C 0.8363 0.6726 0.7500  -0.07
Mn 0.3513 0.1756 0.5209  1.91
Mn 0.6487 0.8244 0.0209  1.91
Mn 0.3823 0.3280 0.2500  0.35
Mn 0.0543 0.6720 0.7500  0.35
Mn 0.3280 0.3823 0.7500  0.35
Mn 0.6177 0.6720 0.7500  0.35
Mn 0.8244 0.6487 0.5209  1.91
C 0.1637 0.8363 0.2500  -0.07
C 0.8363 0.1637 0.7500  -0.07
Ho 0.0000 0.0000 0.7500  -0.09
Mn 0.6720 0.0543 0.2500  0.35
Mn 0.8244 0.1756 0.5209  1.91
Mn 0.5000 0.0000 0.0000  -1.44
Mn 0.0543 0.3823 0.7500  0.35
C 0.1637 0.3274 0.2500  -0.07
Mn 0.1756 0.3513 0.4791  1.91
Ho 0.0000 0.0000 0.2500  -0.09
Mn 0.5000 0.0000 0.5000  -1.44
Mn 0.3513 0.1756 0.9791  1.91
Mn 0.5000 0.5000 0.0000  -1.44
Mn 0.0000 0.5000 0.5000  -1.44
Mn 0.0000 0.5000 0.0000  -1.44
Mn 0.5000 0.5000 0.5000  -1.44
Mn 0.9457 0.3280 0.2500  0.35
Mn 0.6667 0.3333 0.3839  -0.75
Mn 0.6720 0.6177 0.2500  0.35
Ho 0.6667 0.3333 0.7500  0.01
C 0.3274 0.1637 0.7500  -0.07
Mn 0.3333 0.6667 0.8839  -0.75
Mn 0.3823 0.0543 0.2500  0.35
Mn 0.8244 0.6487 0.9791  1.91
Mn 0.1756 0.8244 0.4791  1.91
Mn 0.8244 0.1756 0.9791  1.91
Mn 0.6667 0.3333 0.1161  -0.75
C 0.6726 0.8363 0.2500  -0.07
Mn 0.6177 0.9457 0.7500  0.35
Mn 0.6487 0.8244 0.4791  1.91

Calculated values
Theoretical density, g cm⁻³: 8.15
Total magnetic moment, μB per formula unit: 7.494
Crystal system: hexagonal
Polymorph energy (0 for the lowest one), eV/atom: 0.003
E_form, meV per atom: -95

***

> Which formula does entry 1 have?

Y2HoMgC